Here is crystalline YNiAu3 at its relaxed geometry from the Alexandria database. Energies are from PBE-GGA.

Values from the calculation:
Its spin magnetization is 0.21 μB/atom. The calculated volume comes out at 158.76 Å³/cell. Its formation energy is 985 meV per atom. For the excess energy over the best structure of this formula in the dataset, the calculation gives 5.25 eV per formula unit.

a b c (Å): 5.415 5.415 5.415
angles (deg): 90.00 90.00 90.00
Space group Pm-3m (No. 221)
Inequivalent atoms, fractional coordinates:
Y 0.000 0.000 0.000
Ni 0.500 0.500 0.500
Au 0.000 0.000 0.500